1.
The following is a DFT calculation (PBEsol) of crystalline Tl2InSn at its relaxed geometry.

abc: 7.5883 7.5883 7.5883
angles: 90.00 90.00 90.00
With the nearest neighbours (Å) after each atom.
Space group Fm-3m (No. 225)
Asymmetric unit:
Tl (0.2500, 0.2500, 0.2500)  4 In 3.29, 4 Sn 3.29
In (0.0000, 0.0000, 0.0000)  8 Tl 3.29
Sn (0.0000, 0.0000, 0.5000)  8 Tl 3.29

The calculated volume is 27.31 Å³ per atom. As for the formation energy: 0.033 eV per atom. Its total energy is -3.092 eV/atom.

2.
The following is a DFT calculation (PBEsol) of crystalline Mg2As at its relaxed geometry.

abc: 7.9043 7.9043 7.9043
angles: 90.00 90.00 90.00
With the nearest neighbours (Å) after each atom.
Space group Fd-3m (No. 227, origin choice 2)
Asymmetric unit:
Mg (0.0000, 0.0000, 0.0000)  6 Mg 2.79
As (0.1250, 0.1250, 0.6250)  12 Mg 3.28, 4 As 3.42

The calculated volume is 20.58 Å³ per atom. As for the formation energy: 0.130 eV per atom. Its total energy is -2.717 eV/atom.

Q: Among the records above, which one has the lowest calculated volume?
A: Mg2As

Q: Which formula does entry 2 have?
A: Mg2As

Q: Which formula does entry 1 have?
A: Tl2InSn

Q: Number 2 is which compound?
A: Mg2As